1.
# PrGa4Pt6 GGA-PBE relaxed
data_PrGa4Pt6
_chemical_formula_sum 'Pr1 Ga4 Pt6'
_space_group_name_H-M_alt 'P -6 m 2'
_space_group_IT_number 187
_space_group_name_Hall 'P -6 2'
_cell_length_a 7.3872
_cell_length_b 7.3872
_cell_length_c 3.9716
_cell_angle_alpha 90.00
_cell_angle_beta 90.00
_cell_angle_gamma 120.00
loop_
_atom_site_label
_atom_site_type_symbol
_atom_site_fract_x
_atom_site_fract_y
_atom_site_fract_z
Pr1 Pr 0.0000 0.0000 0.0000
Ga1 Ga 0.3333 0.6667 0.0000
Ga2 Ga 0.3971 0.1986 0.5000
Pt1 Pt 0.1971 0.3943 0.5000
Pt2 Pt 0.5335 0.0670 0.0000
# Energy relative to the elements (meV per atom): -804

---

2.
# Y4Zn5Pt6 GGA-PBE relaxed
data_Y4Zn5Pt6
_chemical_formula_sum 'Y16 Zn20 Pt24'
_space_group_name_H-M_alt 'C m c 21'
_space_group_IT_number 36
_space_group_name_Hall 'C 2c -2'
_cell_length_a 4.0171
_cell_length_b 20.3562
_cell_length_c 14.6676
_cell_angle_alpha 90.00
_cell_angle_beta 90.00
_cell_angle_gamma 90.00
loop_
_atom_site_label
_atom_site_type_symbol
_atom_site_fract_x
_atom_site_fract_y
_atom_site_fract_z
Y1 Y 0.0000 0.0146 0.0000
Y2 Y 0.0000 0.0397 0.2635
Y3 Y 0.0000 0.1546 0.7832
Y4 Y 0.0000 0.1865 0.4259
Zn1 Zn 0.0000 0.1593 0.1160
Zn2 Zn 0.0000 0.3090 0.0956
Zn3 Zn 0.0000 0.3361 0.7620
Zn4 Zn 0.0000 0.3586 0.4659
Zn5 Zn 0.0000 0.4493 0.1614
Pt1 Pt 0.0000 0.1094 0.5907
Pt2 Pt 0.0000 0.2180 0.9649
Pt3 Pt 0.0000 0.2426 0.2449
Pt4 Pt 0.0000 0.4191 0.9064
Pt5 Pt 0.0000 0.4225 0.6225
Pt6 Pt 0.0000 0.4487 0.3443
# Energy relative to the elements (meV per atom): -837